[1]
KSbPt2 | meta-GGA SCAN | PBEsol geometry

Results
For the relative energy among the computed polymorphs, the calculation gives 0 meV/atom. As for the total magnetization: 0.00 Bohr magnetons per cell.

Cell: 4.5426 4.5426 17.4209 Å, 90.00 90.00 120.00°
Space group R-3m (No. 166, hexagonal axes)
One atom of each set of equivalent atoms:
K: 0.0000 0.0000 0.0000 (multiplicity 3)
Sb: 0.0000 0.0000 0.5000 (multiplicity 3)
Pt: 0.0000 0.0000 0.1901 (multiplicity 6)

---

[2]
ReAg2Os | meta-GGA SCAN | PBEsol geometry

Results
For the relative energy among the computed polymorphs, the calculation gives 416 meV/atom. As for the total magnetization: 0.00 Bohr magnetons per cell. The calculation puts the formation enthalpy at 0 K at 124.9 kJ per mole of atoms.

Cell: 4.6683 4.6683 2.7859 Å, 90.00 90.00 90.00°
Space group P4/mmm (No. 123)
One atom of each set of equivalent atoms:
Re: 0.0000 0.0000 0.0000 (multiplicity 1)
Ag: 0.0000 0.5000 0.5000 (multiplicity 2)
Os: 0.5000 0.5000 0.0000 (multiplicity 1)

---

[3]
Sr2TlP | meta-GGA SCAN | PBEsol geometry

Results
As for the total magnetization: 0.00 Bohr magnetons per cell. The calculation puts the formation enthalpy at 0 K at -61.8 kJ per mole of atoms.

Cell: 4.9347 4.9347 9.0660 Å, 90.00 90.00 90.00°
Space group I4/mmm (No. 139)
One atom of each set of equivalent atoms:
Sr: 0.0000 0.5000 0.2500 (multiplicity 4)
Tl: 0.0000 0.0000 0.0000 (multiplicity 2)
P: 0.0000 0.0000 0.5000 (multiplicity 2)

---

[4]
Ba3GaCu | meta-GGA SCAN | PBEsol geometry

Results
As for the total magnetization: 0.00 Bohr magnetons per cell. The calculation puts the formation enthalpy at 0 K at 29.9 kJ per mole of atoms.

Cell: 6.2788 6.2788 6.2788 Å, 90.00 90.00 90.00°
Space group Pm-3m (No. 221)
One atom of each set of equivalent atoms:
Ba: 0.0000 0.0000 0.5000 (multiplicity 3)
Ga: 0.0000 0.0000 0.0000 (multiplicity 1)
Cu: 0.5000 0.5000 0.5000 (multiplicity 1)